[1]
## Ce4TlGa2 (PBE-GGA)

Data for an optimized crystal structure of Ce4TlGa2.

## Properties
Its total energy is -4.75 eV per atom. For the spin magnetization, the calculation gives 1.2 μB/cell.

The structure in POSCAR format:
```
Ce4TlGa2
1.0
-2.553 -2.978 -1.661
-1.277 -3.285 2.391
-11.425 4.549 3.943
Ce Ga Tl
4 2 1
direct
0.185 0.185 0.446
0.815 0.815 0.554
0.608 0.608 0.175
0.392 0.392 0.825
0.897 0.897 0.310
0.103 0.103 0.690
0.000 0.000 0.000
```

---

[2]
## RbPPt3 (PBE-GGA)

Data for an optimized crystal structure of RbPPt3.

## Properties
Its total energy is -2.36 eV per atom. For the spin magnetization, the calculation gives 0.0 μB/cell.

The structure in POSCAR format:
```
RbPPt3
1.0
-3.370 -3.743 0.416
3.758 -3.306 0.696
-0.243 0.773 4.988
Pt Rb P
3 1 1
direct
0.000 0.000 0.500
0.500 0.000 0.000
0.000 0.500 0.000
0.000 0.000 0.000
0.500 0.500 0.500
```

---

[3]
## TaSi2Ru (PBE-GGA)

Data for an optimized crystal structure of TaSi2Ru.

## Properties
Its total energy is -8.40 eV per atom. For the spin magnetization, the calculation gives 0.0 μB/cell.

The structure in POSCAR format:
```
TaSi2Ru
1.0
-3.253 3.344 -0.424
-3.121 1.833 -2.973
-3.949 -2.035 1.002
Ru Ta Si
1 1 2
direct
0.740 0.740 0.818
0.502 0.502 0.458
0.256 0.256 0.257
0.002 0.002 0.968
```

---

[4]
## Pr6ScS8 (PBE-GGA)

Data for an optimized crystal structure of Pr6ScS8.

## Properties
Its total energy is -6.44 eV per atom. For the spin magnetization, the calculation gives 0.0 μB/cell.

The structure in POSCAR format:
```
Pr6ScS8
1.0
0.844 -5.543 5.130
-1.939 -6.825 -2.722
6.028 -4.405 -1.417
S Pr Sc
8 6 1
direct
0.672 0.672 0.672
0.341 0.092 0.823
0.328 0.328 0.328
0.823 0.341 0.092
0.659 0.908 0.177
0.908 0.177 0.659
0.092 0.823 0.341
0.177 0.659 0.908
0.471 0.698 0.084
0.916 0.529 0.302
0.302 0.916 0.529
0.529 0.302 0.916
0.084 0.471 0.698
0.698 0.084 0.471
0.000 0.000 0.000
```

---

[5]
## PmScAlIr (PBE-GGA)

Data for an optimized crystal structure of PmScAlIr.

## Properties
Its total energy is -6.42 eV per atom. For the spin magnetization, the calculation gives 0.0 μB/cell.

The structure in POSCAR format:
```
PmScAlIr
1.0
-1.892 4.365 1.178
-4.657 1.036 -1.123
-3.360 0.337 3.551
Al Sc Ir Pm
1 1 1 1
direct
0.000 0.000 0.000
0.750 0.750 0.750
0.500 0.500 0.500
0.250 0.250 0.250
```

---

[6]
## La2DyNiS5 (PBE-GGA)

Data for an optimized crystal structure of La2DyNiS5.

## Properties
Its total energy is -6.37 eV per atom. For the spin magnetization, the calculation gives 0.0 μB/cell.

The structure in POSCAR format:
```
La2DyNiS5
1.0
3.892 0.000 0.000
-1.946 8.364 0.000
0.000 0.000 12.049
Dy S Ni La
2 10 2 4
direct
0.822 0.644 0.525
0.178 0.356 0.025
0.983 0.966 0.509
0.305 0.609 0.686
0.686 0.371 0.865
0.499 0.997 0.754
0.658 0.317 0.520
0.695 0.391 0.186
0.017 0.034 0.009
0.342 0.683 0.020
0.314 0.629 0.365
0.501 0.003 0.254
0.448 0.895 0.423
0.552 0.105 0.923
0.880 0.760 0.196
0.116 0.231 0.347
0.120 0.240 0.696
0.884 0.769 0.847
```

---

[7]
## AlSiPt (PBE-GGA)

Data for an optimized crystal structure of AlSiPt.

## Properties
Its total energy is -5.46 eV per atom. For the spin magnetization, the calculation gives 0.0 μB/cell.

The structure in POSCAR format:
```
AlSiPt
1.0
-1.385 1.862 -1.953
-1.618 -2.033 1.564
-0.774 3.887 4.254
Si Al Pt
1 1 1
direct
0.667 0.333 0.653
0.000 0.000 0.004
0.333 0.667 0.343
```

---

[8]
## AgIr2F (PBE-GGA)

Data for an optimized crystal structure of AgIr2F.

## Properties
Its total energy is -4.90 eV per atom. For the spin magnetization, the calculation gives 0.0 μB/cell.

The structure in POSCAR format:
```
AgIr2F
1.0
-1.398 6.684 2.396
-5.393 0.589 -4.789
-4.910 2.747 0.400
Ir F Ag
4 2 2
direct
0.375 0.425 0.750
0.575 0.125 0.250
0.875 0.825 0.750
0.175 0.625 0.250
0.500 0.500 0.000
0.250 0.750 0.500
0.750 0.250 0.500
0.000 0.000 0.000
```

---

[9]
## Sm4OsSBr2 (PBE-GGA)

Data for an optimized crystal structure of Sm4OsSBr2.

## Properties
Its total energy is -5.83 eV per atom. For the spin magnetization, the calculation gives 0.0 μB/cell.

The structure in POSCAR format:
```
Sm4OsSBr2
1.0
4.035 0.000 0.000
0.000 7.363 0.235
0.000 -2.481 7.377
Sm Br S Os
4 2 1 1
direct
0.000 0.718 0.198
0.500 0.241 0.195
0.500 0.759 0.805
0.000 0.282 0.802
0.500 0.000 0.500
0.000 0.500 0.500
0.000 0.000 0.000
0.500 0.500 0.000
```

---

[10]
## AlGeIrRu (PBE-GGA)

Data for an optimized crystal structure of AlGeIrRu.

## Properties
Its total energy is -7.15 eV per atom. For the spin magnetization, the calculation gives 0.0 μB/cell.

The structure in POSCAR format:
```
AlGeIrRu
1.0
-0.362 -4.108 1.175
3.208 -1.920 2.099
-0.451 -1.013 4.142
Ru Al Ir Ge
1 1 1 1
direct
0.500 0.500 0.500
0.750 0.750 0.750
0.000 0.000 0.000
0.250 0.250 0.250
```

---

[11]
## TaCrNi (PBE-GGA)

Data for an optimized crystal structure of TaCrNi.

## Properties
Its total energy is -8.61 eV per atom. For the spin magnetization, the calculation gives 2.7 μB/cell.

The structure in POSCAR format:
```
TaCrNi
1.0
-3.068 -2.496 1.028
0.706 -3.216 2.421
-1.419 -0.023 3.833
Cr Ta Ni
1 1 1
direct
0.500 0.500 0.500
0.000 0.000 0.000
0.750 0.750 0.750
```

---

[12]
## Ba2Sc (PBE-GGA)

Data for an optimized crystal structure of Ba2Sc.

## Properties
Its total energy is -2.97 eV per atom. For the spin magnetization, the calculation gives 1.4 μB/cell.

The structure in POSCAR format:
```
Ba2Sc
1.0
2.131 4.881 -3.593
-5.221 -3.278 -1.807
-2.152 2.362 1.933
Ba Sc
2 1
direct
0.333 0.667 0.000
0.667 0.333 0.000
0.000 0.000 0.500
```

---

[13]
## Be2VAs (PBE-GGA)

Data for an optimized crystal structure of Be2VAs.

## Properties
Its total energy is -5.30 eV per atom. For the spin magnetization, the calculation gives 0.0 μB/cell.

The structure in POSCAR format:
```
Be2VAs
1.0
-0.208 0.974 -3.306
0.939 -3.326 -1.039
-3.477 -0.962 -0.064
V As Be
1 1 2
direct
0.500 0.500 0.500
0.500 0.000 0.000
0.000 0.500 0.000
0.000 0.000 0.500
```

---

[14]
## MnInCl (PBE-GGA)

Data for an optimized crystal structure of MnInCl.

## Properties
Its total energy is -4.71 eV per atom. For the spin magnetization, the calculation gives 4.2 μB/cell.

The structure in POSCAR format:
```
MnInCl
1.0
7.692 0.141 0.000
6.321 4.385 0.000
-7.006 -2.263 2.230
In Cl Mn
1 1 1
direct
0.292 0.292 0.000
0.057 0.057 0.000
0.651 0.651 0.000
```

---

[15]
## SrZnMo2 (PBE-GGA)

Data for an optimized crystal structure of SrZnMo2.

## Properties
Its total energy is -5.60 eV per atom. For the spin magnetization, the calculation gives 0.0 μB/cell.

The structure in POSCAR format:
```
SrZnMo2
1.0
-1.449 1.322 -4.100
-3.471 -0.738 -2.839
-3.888 5.036 1.990
Mo Zn Sr
2 1 1
direct
0.000 0.000 0.986
0.728 0.728 0.844
0.265 0.265 0.170
0.507 0.507 0.500
```

---

[16]
## Tl3Pd8Pb2 (PBE-GGA)

Data for an optimized crystal structure of Tl3Pd8Pb2.

## Properties
Its total energy is -4.36 eV per atom. For the spin magnetization, the calculation gives 0.0 μB/cell.

The structure in POSCAR format:
```
Tl3Pd8Pb2
1.0
5.503 0.000 0.000
2.751 4.765 0.000
2.751 1.588 10.098
Tl Pd Pb
3 8 2
direct
0.813 0.813 0.561
0.000 0.000 0.000
0.187 0.187 0.439
0.273 0.777 0.677
0.277 0.277 0.170
0.777 0.273 0.677
0.723 0.723 0.830
0.223 0.727 0.323
0.727 0.223 0.323
0.273 0.273 0.677
0.727 0.727 0.323
0.633 0.633 0.101
0.367 0.367 0.899
```

---

[17]
## NbIrRu2 (PBE-GGA)

Data for an optimized crystal structure of NbIrRu2.

## Properties
Its total energy is -9.23 eV per atom. For the spin magnetization, the calculation gives 0.0 μB/cell.

The structure in POSCAR format:
```
NbIrRu2
1.0
2.482 -3.633 -0.467
2.289 -1.573 3.445
-1.233 -3.785 1.932
Nb Ru Ir
1 2 1
direct
0.000 0.000 0.000
0.750 0.750 0.750
0.250 0.250 0.250
0.500 0.500 0.500
```

---

[18]
## AcHo2Sn (PBE-GGA)

Data for an optimized crystal structure of AcHo2Sn.

## Properties
Its total energy is -4.46 eV per atom. For the spin magnetization, the calculation gives 0.0 μB/cell.

The structure in POSCAR format:
```
AcHo2Sn
1.0
5.534 0.000 0.000
2.767 4.793 0.000
2.767 1.598 4.519
Ho Sn Ac
2 1 1
direct
0.750 0.750 0.750
0.250 0.250 0.250
0.500 0.500 0.500
0.000 0.000 0.000
```

---

[19]
## PrMg2Tl (PBE-GGA)

Data for an optimized crystal structure of PrMg2Tl.

## Properties
Its total energy is -2.81 eV per atom. For the spin magnetization, the calculation gives 0.0 μB/cell.

The structure in POSCAR format:
```
PrMg2Tl
1.0
4.955 0.000 0.000
0.000 4.658 0.000
0.000 0.000 4.658
Tl Mg Pr
1 2 1
direct
0.500 0.000 0.000
0.000 0.500 0.000
0.000 0.000 0.500
0.500 0.500 0.500
```

---

[20]
## NaCaAgPb (PBE-GGA)

Data for an optimized crystal structure of NaCaAgPb.

## Properties
Its total energy is -2.71 eV per atom. For the spin magnetization, the calculation gives 0.0 μB/cell.

The structure in POSCAR format:
```
NaCaAgPb
1.0
4.910 0.000 0.000
0.000 4.910 0.000
-2.455 -2.455 4.351
Na Ag Pb Ca
1 1 1 1
direct
0.750 0.250 0.500
0.500 0.500 0.000
0.000 0.000 0.000
0.250 0.750 0.500
```